# 1
A plane-wave DFT calculation with PBE-GGA was carried out for a geometry-optimized LiTmHg2 structure.

abc: 3.7800 3.7800 23.0654
angles: 90.00 90.00 120.00
Space group R3m (No. 160, hexagonal axes)
Symmetry-distinct sites (fractional):
Li (0.0000, 0.0000, 0.0000) x3
Tm (0.0000, 0.0000, 0.1686) x3
Hg (0.0000, 0.0000, 0.5954) x3
Hg (0.0000, 0.0000, 0.7408) x3

Summary:
Fermi-level density of states (states/eV/atom): 0.639
Size of the total moment (μB/cell): 0.00
Calculated volume (A^3/atom): 23.78
ΔE_f (meV per atom): -271.9

***

# 2
A plane-wave DFT calculation with PBE-GGA was carried out for a geometry-optimized LiTmHg4 structure.

abc: 10.2491 3.7963 7.4836
angles: 90.00 111.40 90.00
Space group C2/m (No. 12)
Symmetry-distinct sites (fractional):
Li (0.0000, 0.0000, 0.0000) x2
Tm (0.0000, 0.0000, 0.5000) x2
Hg (0.1620, 0.5000, 0.8427) x4
Hg (0.1645, 0.5000, 0.3202) x4

Summary:
Fermi-level density of states (states/eV/atom): 0.325
Size of the total moment (μB/cell): 0.00
Calculated volume (A^3/atom): 22.59
ΔE_f (meV per atom): -306.3